LaCeLuZn | PBE | optimized geometry

```
4
Lattice="5.411 0.000 0.000 2.705 4.686 0.000 2.705 1.562 4.418" Properties=species:S:1:pos:R:3 pbc="T T T"
La 2.705 1.562 1.104
Ce 8.116 4.686 3.313
Zn 0.000 0.000 0.000
Lu 5.411 3.124 2.209
```

## Properties
volume	28.0	Å³ per atom
space-group type	F-43m
formation energy from the elements	56	meV/atom



AlFeGeAu2 | PBE | optimized geometry

```
5
Lattice="4.838 0.000 0.000 0.000 4.521 0.000 0.000 0.000 4.838" Properties=species:S:1:pos:R:3 pbc="T T T"
Au 2.419 0.000 0.000
Au 0.000 0.000 2.419
Al 0.000 2.261 0.000
Fe 0.000 0.000 0.000
Ge 2.419 2.261 2.419
```

## Properties
volume	21.2	Å³ per atom
space-group type	P4/mmm
formation energy from the elements	621	meV/atom



BaPaSe4 | PBE | optimized geometry

```
12
Lattice="6.424 0.000 0.004 0.000 6.939 0.000 -0.004 0.000 8.188" Properties=species:S:1:pos:R:3 pbc="T T T"
Se 4.833 5.188 6.481
Se 1.586 1.751 1.710
Se 4.796 1.719 6.481
Se 1.623 5.219 1.710
Se 4.835 5.188 1.712
Se 1.622 5.220 6.479
Se 4.798 1.719 1.712
Se 1.585 1.750 6.479
Ba 3.210 3.469 4.096
Ba -0.002 0.000 4.094
Pa 0.000 0.000 0.000
Pa 3.212 3.469 0.002
```

## Properties
formation energy (no corrections)	-1.301	eV/atom
energy relative to the lowest polymorph listed for this composition	46.2	meV per atom
volume	30.4	Å³ per atom
space-group type	Pbam